Entry 1:
First-principles (PBE) data for crystalline ZrSiSb2 at its relaxed geometry, as listed in Alexandria.

## Properties
The symmetry is P4/mmm, No. 123. The calculation puts the formation energy without anion corrections at 48 meV/atom. Its calculated total energy is -5.5061 eV/atom.

a b c (Å): 4.900 4.900 3.701
angles (deg): 90.00 90.00 90.00
Atoms (fractional coordinates):
Sb1 0.000 0.000 0.000
Sb2 0.500 0.500 0.000
Si1 0.500 0.000 0.500
Zr1 0.000 0.500 0.500

=====

Entry 2:
First-principles (PBE) data for crystalline ZrSiSb2 at its relaxed geometry, as listed in Alexandria.

## Properties
The symmetry is Pm, No. 6. The calculation puts the formation energy without anion corrections at -394 meV/atom. Its calculated total energy is -5.9484 eV/atom.

a b c (Å): 3.987 4.173 5.817
angles (deg): 69.14 90.00 90.00
Atoms (fractional coordinates):
Sb1 0.000 0.993 0.946
Sb2 0.500 0.264 0.355
Si1 0.000 0.667 0.423
Zr1 0.500 0.576 0.776

=====

Entry 3:
First-principles (PBE) data for crystalline ZrSiSb2 at its relaxed geometry, as listed in Alexandria.

## Properties
The symmetry is R-3m, No. 166. The calculation puts the formation energy without anion corrections at 179 meV/atom. Its calculated total energy is -5.3754 eV/atom.

a b c (Å): 10.432 10.432 10.432
angles (deg): 17.91 17.91 17.91
Atoms (fractional coordinates):
Sb1 0.004 0.004 0.004
Sb2 0.496 0.496 0.496
Si1 0.250 0.250 0.250
Zr1 0.750 0.750 0.750

=====

Entry 4:
First-principles (PBE) data for crystalline Zr4SiSb at its relaxed geometry, as listed in Alexandria.

## Properties
The symmetry is F-43m, No. 216. The calculation puts the formation energy without anion corrections at 178 meV/atom. Its calculated total energy is -7.1114 eV/atom.

a b c (Å): 5.737 5.737 5.737
angles (deg): 60.00 60.00 60.00
Atoms (fractional coordinates):
Zr1 0.876 0.375 0.375
Zr2 0.375 0.375 0.876
Zr3 0.375 0.876 0.375
Zr4 0.375 0.375 0.375
Si1 0.000 0.000 0.000
Sb1 0.750 0.750 0.750

=====

Entry 5:
First-principles (PBE) data for crystalline ZrSiSb at its relaxed geometry, as listed in Alexandria.

## Properties
The symmetry is I4mm, No. 107. The calculation puts the formation energy without anion corrections at -36 meV/atom. Its calculated total energy is -6.0669 eV/atom.

a b c (Å): 7.302 7.302 7.302
angles (deg): 155.70 155.70 34.63
Atoms (fractional coordinates):
Sb1 0.009 0.009 0.000
Si1 0.313 0.313 0.000
Zr1 0.678 0.678 0.000

=====

Entry 6:
First-principles (PBE) data for crystalline ZrSi2Sb2 at its relaxed geometry, as listed in Alexandria.

## Properties
The symmetry is I4/mmm, No. 139. The calculation puts the formation energy without anion corrections at 84 meV/atom. Its calculated total energy is -5.4435 eV/atom.

a b c (Å): 3.516 3.516 9.195
angles (deg): 78.98 78.98 90.00
Atoms (fractional coordinates):
Sb1 0.400 0.400 0.201
Sb2 0.600 0.600 0.799
Si1 0.750 0.250 0.500
Si2 0.250 0.750 0.500
Zr1 0.000 0.000 0.000

=====

Entry 7:
First-principles (PBE) data for crystalline ZrSiSb2 at its relaxed geometry, as listed in Alexandria.

## Properties
The symmetry is I-42d, No. 122. The calculation puts the formation energy without anion corrections at 256 meV/atom. Its calculated total energy is -5.2981 eV/atom.

a b c (Å): 6.493 6.493 7.690
angles (deg): 65.03 65.03 90.00
Atoms (fractional coordinates):
Sb1 0.604 0.125 0.250
Sb2 0.146 0.625 0.250
Sb3 0.375 0.396 0.750
Sb4 0.875 0.854 0.750
Si1 0.500 0.500 0.000
Si2 0.250 0.750 0.500
Zr1 0.000 0.000 0.000
Zr2 0.750 0.250 0.500

=====

Entry 8:
First-principles (PBE) data for crystalline Zr5Si2Sb at its relaxed geometry, as listed in Alexandria.

## Properties
The symmetry is I4/mcm, No. 140. The calculation puts the formation energy without anion corrections at -831 meV/atom. Its calculated total energy is -8.0449 eV/atom.

a b c (Å): 7.092 7.092 8.179
angles (deg): 115.69 115.69 90.00
Atoms (fractional coordinates):
Zr1 0.525 0.694 0.719
Zr2 0.806 0.975 0.281
Zr3 0.000 0.000 0.000
Zr4 0.500 0.500 0.000
Zr5 0.194 0.025 0.719
Zr6 0.694 0.194 0.719
Zr7 0.025 0.525 0.719
Zr8 0.306 0.806 0.281
Zr9 0.975 0.475 0.281
Zr10 0.475 0.306 0.281
Si1 0.129 0.371 0.000
Si2 0.629 0.129 0.000
Si3 0.371 0.871 0.000
Si4 0.871 0.629 0.000
Sb1 0.750 0.750 0.500
Sb2 0.250 0.250 0.500

=====

Entry 9:
First-principles (PBE) data for crystalline ZrSi2Sb at its relaxed geometry, as listed in Alexandria.

## Properties
The symmetry is I4/mmm, No. 139. The calculation puts the formation energy without anion corrections at 39 meV/atom. Its calculated total energy is -5.8397 eV/atom.

a b c (Å): 5.486 5.486 5.486
angles (deg): 136.38 136.38 63.39
Atoms (fractional coordinates):
Sb1 0.750 0.250 0.500
Si1 0.000 0.000 0.000
Si2 0.500 0.500 0.000
Zr1 0.250 0.750 0.500

=====

Entry 10:
First-principles (PBE) data for crystalline ZrSiSb2 at its relaxed geometry, as listed in Alexandria.

## Properties
The symmetry is P4/mmm, No. 123. The calculation puts the formation energy without anion corrections at -91 meV/atom. Its calculated total energy is -5.6445 eV/atom.

a b c (Å): 3.910 3.910 5.833
angles (deg): 90.00 90.00 90.00
Atoms (fractional coordinates):
Sb1 0.000 0.000 0.004
Sb2 0.000 0.000 0.496
Si1 0.500 0.500 0.250
Zr1 0.500 0.500 0.750

=====

Entry 11:
First-principles (PBE) data for crystalline ZrSiSb2 at its relaxed geometry, as listed in Alexandria.

## Properties
The symmetry is C2/m, No. 12. The calculation puts the formation energy without anion corrections at 2 meV/atom. Its calculated total energy is -5.5516 eV/atom.

a b c (Å): 5.626 5.626 4.703
angles (deg): 87.44 87.44 37.82
Atoms (fractional coordinates):
Sb1 0.016 0.016 0.994
Sb2 0.484 0.484 0.506
Si1 0.250 0.250 0.250
Zr1 0.750 0.750 0.750

=====

Entry 12:
First-principles (PBE) data for crystalline ZrSiSb2 at its relaxed geometry, as listed in Alexandria.

## Properties
The symmetry is P2/m, No. 10. The calculation puts the formation energy without anion corrections at -102 meV/atom. Its calculated total energy is -5.6563 eV/atom.

a b c (Å): 3.834 3.830 6.639
angles (deg): 65.31 90.00 90.00
Atoms (fractional coordinates):
Sb1 0.000 0.052 0.002
Sb2 0.000 0.448 0.498
Si1 0.500 0.250 0.250
Zr1 0.500 0.750 0.750

=====

> Among the records above, which one has the lowest formation energy without anion corrections?

Zr5Si2Sb